Run i
The following is a meta-GGA SCAN calculation of V2O3F at its PBEsol-relaxed geometry, from Alexandria.

Unit cell a=4.572 b=5.394 c=9.847 alpha=94.54 beta=90.00 gamma=90.00
Fractional coordinates of all 24 atoms:
O1 0.803 0.976 0.326
O2 0.699 0.479 0.323
O3 0.697 0.976 0.826
O4 0.197 0.024 0.674
O5 0.296 0.280 0.930
O6 0.801 0.479 0.823
O7 0.204 0.280 0.430
O8 0.796 0.720 0.570
O9 0.303 0.024 0.174
O10 0.301 0.521 0.677
O11 0.199 0.521 0.177
O12 0.704 0.720 0.070
F1 0.803 0.221 0.079
F2 0.197 0.779 0.921
F3 0.697 0.221 0.579
F4 0.303 0.779 0.421
V1 0.519 0.745 0.234
V2 0.481 0.255 0.766
V3 0.000 0.500 0.000
V4 0.000 0.000 0.500
V5 0.500 0.500 0.500
V6 0.500 0.000 0.000
V7 0.981 0.745 0.734
V8 0.019 0.255 0.266

Results
Size of the total moment: 3.00 μB/f.u.
Symmetry: No. 14
DOS at the Fermi energy: 7.884 states/eV/cell

=====

Run ii
The following is a meta-GGA SCAN calculation of V2O3F at its PBEsol-relaxed geometry, from Alexandria.

Unit cell a=5.440 b=5.440 c=6.955 alpha=71.46 beta=71.46 gamma=76.74
Fractional coordinates of all 18 atoms:
O1 0.098 0.100 0.701
O2 0.900 0.902 0.299
O3 0.363 0.966 0.336
O4 0.308 0.692 0.000
O5 0.770 0.767 0.033
O6 0.034 0.637 0.664
O7 0.233 0.230 0.967
O8 0.432 0.434 0.365
O9 0.566 0.568 0.635
V1 0.333 0.329 0.167
V2 0.041 0.959 0.000
V3 0.671 0.667 0.833
V4 0.017 0.983 0.500
V5 0.636 0.695 0.336
V6 0.305 0.364 0.664
F1 0.628 0.039 0.664
F2 0.706 0.294 0.000
F3 0.961 0.372 0.336

Results
Size of the total moment: 3.00 μB/f.u.
Symmetry: No. 5
DOS at the Fermi energy: 6.859 states/eV/cell

=====

Run iii
The following is a meta-GGA SCAN calculation of V2O3F at its PBEsol-relaxed geometry, from Alexandria.

Unit cell a=5.689 b=6.351 c=7.247 alpha=90.00 beta=113.11 gamma=90.00
Fractional coordinates of all 24 atoms:
V1 0.000 0.500 0.500
V2 0.500 0.500 0.000
V3 0.246 0.000 0.492
V4 0.500 0.500 0.500
V5 0.754 0.000 0.508
V6 0.212 0.000 0.000
V7 0.000 0.500 0.000
V8 0.788 0.000 0.000
O1 0.000 0.201 0.500
O2 0.249 0.706 0.000
O3 0.106 0.000 0.212
O4 0.249 0.294 0.000
O5 0.500 0.799 0.500
O6 0.349 0.500 0.699
O7 0.894 0.000 0.788
O8 0.751 0.294 0.000
O9 0.751 0.706 0.000
O10 0.000 0.799 0.500
O11 0.651 0.500 0.301
O12 0.500 0.201 0.500
F1 0.147 0.500 0.294
F2 0.598 0.000 0.195
F3 0.853 0.500 0.706
F4 0.402 0.000 0.805

Results
Size of the total moment: 2.50 μB/f.u.
Symmetry: No. 65
DOS at the Fermi energy: 9.677 states/eV/cell

=====

Stability verdict: run ii, ahead by 0.025 eV/atom

=====

Run i
The following is a meta-GGA SCAN calculation of V2O3F at its PBEsol-relaxed geometry, from Alexandria.

Unit cell a=5.440 b=5.440 c=9.725 alpha=102.50 beta=94.38 gamma=118.45
Fractional coordinates of all 24 atoms:
V1 0.197 0.773 0.970
V2 0.851 0.837 0.253
V3 0.500 0.000 0.500
V4 0.149 0.163 0.747
V5 0.583 0.597 0.747
V6 0.803 0.227 0.030
V7 0.417 0.403 0.253
V8 0.000 0.500 0.500
O1 0.948 0.640 0.098
O2 0.690 0.404 0.603
O3 0.994 0.162 0.156
O4 0.210 0.435 0.645
O5 0.790 0.565 0.355
O6 0.199 0.912 0.603
O7 0.006 0.838 0.844
O8 0.801 0.088 0.397
O9 0.310 0.596 0.397
O10 0.458 0.151 0.098
O11 0.052 0.360 0.902
O12 0.542 0.849 0.902
F1 0.467 0.676 0.143
F2 0.282 0.069 0.351
F3 0.533 0.324 0.857
F4 0.718 0.931 0.649

Results
Size of the total moment: 2.00 μB/f.u.
Symmetry: No. 12
DOS at the Fermi energy: 5.738 states/eV/cell

=====

Run ii
The following is a meta-GGA SCAN calculation of V2O3F at its PBEsol-relaxed geometry, from Alexandria.

Unit cell a=5.444 b=5.444 c=5.444 alpha=76.99 beta=71.34 gamma=117.06
Fractional coordinates of all 12 atoms:
F1 0.250 0.044 0.706
F2 0.750 0.956 0.294
O1 0.301 0.000 0.199
O2 0.199 0.500 0.801
O3 0.801 0.500 0.199
O4 0.699 0.000 0.801
O5 0.750 0.555 0.695
O6 0.250 0.445 0.305
V1 0.750 0.288 0.962
V2 0.250 0.712 0.038
V3 0.000 0.000 0.500
V4 0.500 0.500 0.500

Results
Size of the total moment: 3.00 μB/f.u.
Symmetry: No. 74
DOS at the Fermi energy: 4.350 states/eV/cell

=====

Run iii
The following is a meta-GGA SCAN calculation of V2O3F at its PBEsol-relaxed geometry, from Alexandria.

Unit cell a=4.584 b=5.434 c=5.434 alpha=116.65 beta=91.93 gamma=88.07
Fractional coordinates of all 12 atoms:
O1 0.800 0.152 0.848
O2 0.705 0.154 0.352
O3 0.295 0.352 0.154
O4 0.200 0.848 0.152
O5 0.295 0.846 0.648
O6 0.705 0.648 0.846
V1 0.000 0.500 0.000
V2 0.500 0.500 0.500
V3 0.000 0.000 0.500
V4 0.500 0.000 0.000
F1 0.788 0.651 0.349
F2 0.212 0.349 0.651

Results
Size of the total moment: 3.00 μB/f.u.
Symmetry: No. 12
DOS at the Fermi energy: 6.424 states/eV/cell

=====

Stability verdict: run ii, ahead by 0.051 eV/atom

=====

Run i
The following is a meta-GGA SCAN calculation of V2O3F at its PBEsol-relaxed geometry, from Alexandria.

Unit cell a=4.604 b=5.736 c=9.649 alpha=72.83 beta=88.41 gamma=90.15
Fractional coordinates of all 24 atoms:
V1 0.513 0.860 0.746
V2 0.986 0.496 0.991
V3 0.002 0.233 0.507
V4 0.530 0.391 0.751
V5 0.458 0.145 0.233
V6 0.538 0.604 0.271
V7 0.015 0.764 0.494
V8 0.954 0.007 0.005
O1 0.298 0.321 0.354
O2 0.699 0.427 0.149
O3 0.717 0.679 0.645
O4 0.694 0.172 0.655
O5 0.801 0.802 0.902
O6 0.190 0.202 0.096
O7 0.789 0.299 0.898
O8 0.690 0.920 0.157
O9 0.816 0.541 0.408
O10 0.313 0.828 0.346
O11 0.210 0.946 0.604
O12 0.297 0.572 0.849
F1 0.794 0.056 0.393
F2 0.209 0.451 0.601
F3 0.192 0.704 0.097
F4 0.296 0.078 0.850

Results
Size of the total moment: 3.00 μB/f.u.
Symmetry: No. 1
DOS at the Fermi energy: 6.647 states/eV/cell

=====

Run ii
The following is a meta-GGA SCAN calculation of V2O3F at its PBEsol-relaxed geometry, from Alexandria.

Unit cell a=2.859 b=4.619 c=4.619 alpha=93.30 beta=90.00 gamma=90.00
Fractional coordinates of all 6 atoms:
O1 0.000 0.702 0.702
O2 0.500 0.203 0.797
O3 0.000 0.298 0.298
V1 0.000 0.020 0.980
V2 0.500 0.479 0.521
F1 0.500 0.799 0.201

Results
Size of the total moment: 3.00 μB/f.u.
Symmetry: No. 38
DOS at the Fermi energy: 2.182 states/eV/cell

=====

Stability verdict: run ii, ahead by 0.015 eV/atom

=====

Run i
The following is a meta-GGA SCAN calculation of V4O3F9 at its PBEsol-relaxed geometry, from Alexandria.

Unit cell a=5.175 b=5.273 c=17.105 alpha=82.76 beta=81.64 gamma=60.43
Fractional coordinates of all 32 atoms:
V1 0.669 0.617 0.122
V2 0.005 0.965 0.002
V3 0.106 0.154 0.628
V4 0.485 0.512 0.491
V5 0.880 0.902 0.381
V6 0.387 0.331 0.870
V7 0.238 0.272 0.245
V8 0.748 0.742 0.749
F1 0.742 0.326 0.581
F2 0.519 0.946 0.186
F3 0.998 0.570 0.836
F4 0.043 0.048 0.291
F5 0.494 0.922 0.665
F6 0.764 0.158 0.916
F7 0.507 0.076 0.329
F8 0.695 0.725 0.460
F9 0.273 0.825 0.082
F10 0.743 0.303 0.062
F11 0.462 0.464 0.208
F12 0.990 0.567 0.316
F13 0.235 0.813 0.566
F14 0.529 0.543 0.792
F15 0.962 0.947 0.707
F16 0.274 0.303 0.541
F17 0.220 0.192 0.960
F18 0.284 0.668 0.935
O1 0.216 0.701 0.424
O2 0.993 0.427 0.173
O3 0.727 0.214 0.434
O4 0.823 0.781 0.046
O5 0.500 0.054 0.812
O6 0.992 0.432 0.687

Results
Size of the total moment: 5.00 μB/f.u.
Symmetry: No. 1
DOS at the Fermi energy: 11.437 states/eV/cell

=====

Run ii
The following is a meta-GGA SCAN calculation of V4O3F9 at its PBEsol-relaxed geometry, from Alexandria.

Unit cell a=5.243 b=5.264 c=8.848 alpha=105.24 beta=90.00 gamma=119.87
Fractional coordinates of all 16 atoms:
F1 0.169 0.982 0.204
F2 0.665 0.968 0.713
F3 0.187 0.018 0.796
F4 0.314 0.480 0.459
F5 0.697 0.032 0.287
F6 0.834 0.520 0.541
F7 0.804 0.473 0.956
F8 0.820 0.000 0.000
F9 0.331 0.527 0.044
O1 0.677 0.509 0.250
O2 0.168 0.491 0.750
O3 0.329 0.000 0.500
V1 0.016 0.270 0.865
V2 0.746 0.730 0.135
V3 0.491 0.239 0.380
V4 0.252 0.761 0.620

Results
Size of the total moment: 5.00 μB/f.u.
Symmetry: No. 5
DOS at the Fermi energy: 4.408 states/eV/cell

=====

Run iii
The following is a meta-GGA SCAN calculation of V4O3F9 at its PBEsol-relaxed geometry, from Alexandria.

Unit cell a=5.237 b=5.343 c=7.135 alpha=91.96 beta=90.00 gamma=90.00
Fractional coordinates of all 16 atoms:
F1 0.796 0.708 0.709
F2 0.201 0.705 0.215
F3 0.292 0.797 0.787
F4 0.201 0.295 0.785
F5 0.292 0.203 0.213
F6 0.087 0.000 0.500
F7 0.796 0.292 0.291
F8 0.707 0.204 0.708
F9 0.707 0.796 0.292
V1 0.498 0.499 0.250
V2 0.993 0.000 0.239
V3 0.498 0.501 0.750
V4 0.993 0.000 0.761
O1 0.555 0.500 0.000
O2 0.445 0.500 0.500
O3 0.938 0.000 0.000

Results
Size of the total moment: 5.00 μB/f.u.
Symmetry: No. 3
DOS at the Fermi energy: 5.559 states/eV/cell

=====

Stability verdict: run i, ahead by 0.009 eV/atom

=====

Run i
The following is a meta-GGA SCAN calculation of V3O2F6 at its PBEsol-relaxed geometry, from Alexandria.

Unit cell a=5.065 b=7.065 c=7.395 alpha=101.69 beta=91.35 gamma=90.21
Fractional coordinates of all 22 atoms:
V1 0.250 0.685 0.312
V2 0.765 0.831 0.676
V3 0.235 0.169 0.324
V4 0.709 0.339 0.187
V5 0.291 0.661 0.813
V6 0.750 0.315 0.688
F1 0.551 0.090 0.188
F2 0.420 0.217 0.559
F3 0.580 0.783 0.441
F4 0.919 0.570 0.204
F5 0.030 0.194 0.108
F6 0.100 0.688 0.567
F7 0.081 0.430 0.796
F8 0.900 0.312 0.433
F9 0.614 0.325 0.935
F10 0.386 0.675 0.065
F11 0.449 0.910 0.812
F12 0.970 0.806 0.892
O1 0.846 0.067 0.675
O2 0.404 0.430 0.294
O3 0.154 0.933 0.325
O4 0.596 0.570 0.706

Results
Size of the total moment: 5.00 μB/f.u.
Symmetry: No. 2
DOS at the Fermi energy: 3.097 states/eV/cell

=====

Run ii
The following is a meta-GGA SCAN calculation of V3O2F6 at its PBEsol-relaxed geometry, from Alexandria.

Unit cell a=4.688 b=5.371 c=9.858 alpha=95.04 beta=90.00 gamma=90.00
Fractional coordinates of all 22 atoms:
F1 0.530 0.026 0.695
F2 0.925 0.214 0.072
F3 0.934 0.692 0.576
F4 0.566 0.308 0.424
F5 0.470 0.026 0.195
F6 0.075 0.214 0.572
F7 0.575 0.786 0.928
F8 0.434 0.308 0.924
F9 0.970 0.974 0.305
F10 0.066 0.692 0.076
F11 0.425 0.786 0.428
F12 0.030 0.974 0.805
O1 0.063 0.472 0.322
O2 0.937 0.472 0.822
O3 0.563 0.528 0.178
O4 0.437 0.528 0.678
V1 0.250 0.500 0.500
V2 0.732 0.732 0.746
V3 0.268 0.732 0.246
V4 0.232 0.268 0.754
V5 0.768 0.268 0.254
V6 0.750 0.500 0.000

Results
Size of the total moment: 5.00 μB/f.u.
Symmetry: No. 14
DOS at the Fermi energy: 5.205 states/eV/cell

=====

Stability verdict: run ii, ahead by 0.021 eV/atom

=====

Run i
The following is a meta-GGA SCAN calculation of OsPb3F at its PBEsol-relaxed geometry, from Alexandria.

Unit cell a=5.203 b=5.203 c=5.203 alpha=90.00 beta=90.00 gamma=90.00
Fractional coordinates of all 5 atoms:
Os1 0.000 0.000 0.000
F1 0.500 0.500 0.500
Pb1 0.000 0.500 0.000
Pb2 0.000 0.000 0.500
Pb3 0.500 0.000 0.000

Results
Size of the total moment: 0.00 μB/f.u.
Symmetry: No. 221
DOS at the Fermi energy: 4.348 states/eV/cell

=====

Run ii
The following is a meta-GGA SCAN calculation of OsPb3F at its PBEsol-relaxed geometry, from Alexandria.

Unit cell a=4.803 b=4.803 c=4.803 alpha=90.00 beta=90.00 gamma=90.00
Fractional coordinates of all 5 atoms:
Pb1 0.500 0.000 0.000
Pb2 0.000 0.500 0.000
Pb3 0.000 0.000 0.500
Os1 0.500 0.500 0.500
F1 0.000 0.000 0.000

Results
Size of the total moment: 0.00 μB/f.u.
Symmetry: No. 221
DOS at the Fermi energy: 3.448 states/eV/cell

=====

Stability verdict: run i, ahead by 0.592 eV/atom

=====

Run i
The following is a meta-GGA SCAN calculation of Sc2PF at its PBEsol-relaxed geometry, from Alexandria.

Unit cell a=3.909 b=3.909 c=6.806 alpha=73.31 beta=73.31 gamma=60.00
Fractional coordinates of all 4 atoms:
P1 0.500 0.500 0.500
Sc1 0.105 0.105 0.684
Sc2 0.895 0.895 0.316
F1 0.000 0.000 0.000

Results
Size of the total moment: 0.00 μB/f.u.
Symmetry: No. 166
DOS at the Fermi energy: 0.936 states/eV/cell

=====

Run ii
The following is a meta-GGA SCAN calculation of Sc2PF at its PBEsol-relaxed geometry, from Alexandria.

Unit cell a=3.031 b=3.031 c=8.573 alpha=79.82 beta=79.82 gamma=60.00
Fractional coordinates of all 4 atoms:
Sc1 0.901 0.901 0.298
Sc2 0.099 0.099 0.702
P1 0.000 0.000 0.000
F1 0.500 0.500 0.500

Results
Size of the total moment: 0.00 μB/f.u.
Symmetry: No. 166
DOS at the Fermi energy: 3.074 states/eV/cell

=====

Stability verdict: run i, ahead by 1.123 eV/atom